Computed, not measured: a geometry-optimized Er3ScAg4S8 structure at the GGA-PBE level of DFT.

a = 7.978 Å, b = 7.978 Å, c = 9.003 Å
α = 118.62°, β = 118.62°, γ = 59.74°
Element x y z (fractional)
1 Er 0.000 0.000 0.000
2 Er 0.000 0.500 0.000
3 Er 0.500 0.000 0.000
4 Sc 0.500 0.500 0.000
5 Ag 0.000 0.000 0.500
6 Ag 0.000 0.500 0.500
7 Ag 0.500 0.000 0.500
8 Ag 0.500 0.500 0.500
9 S 0.098 0.098 0.812
10 S 0.111 0.594 0.815
11 S 0.406 0.406 0.186
12 S 0.406 0.889 0.185
13 S 0.594 0.111 0.815
14 S 0.594 0.594 0.814
15 S 0.889 0.406 0.185
16 S 0.902 0.902 0.188

## Properties
- E: -85.0 eV/cell
- V: 412.59 Å³/f.u.
- Raw formation energy: -20.51 eV per formula unit
- Magnetic moment: 0.000 μB/atom
- N(E_F): 0.0 states/eV per cell